Record 1
This record from OQMD describes crystalline GdYZnCo2 at its relaxed geometry. The functional is PBE.

## Properties
DFT formation energy = -26.6 kJ/mol of atoms
Calculated density = 7.73 g/cm3

a = 4.096 Å, b = 5.490 Å, c = 8.204 Å
α = 90.00°, β = 90.00°, γ = 90.00°
Space group Imm2 (No. 44)
Symmetry-distinct sites (fractional):
Gd 0.000 0.000 0.000
Y 0.000 0.000 0.419
Zn 0.000 0.500 0.209
Co 0.000 0.291 0.710

---

Record 2
This record from OQMD describes crystalline TbEr2Cu4Si2Ge2 at its relaxed geometry. The functional is PBE.

## Properties
Distance to the lowest polymorph of the same formula = 8 kJ/mol of formula units
Calculated density = 8.35 g/cm3

a = 4.155 Å, b = 6.598 Å, c = 13.762 Å
α = 90.00°, β = 90.00°, γ = 90.00°
Space group Immm (No. 71)
Symmetry-distinct sites (fractional):
Tb 0.000 0.000 0.000
Er 0.000 0.500 0.129
Cu 0.000 0.309 0.336
Si 0.000 0.183 0.500
Ge 0.000 0.000 0.218

---

Record 3
This record from OQMD describes crystalline RbZrCdS3 at its relaxed geometry. The functional is PBE.

## Properties
Uncorrected energy = -0.1831 Ha/atom
Calculated density = 3.95 g/cm3

a = 8.524 Å, b = 3.806 Å, c = 10.449 Å
α = 90.00°, β = 107.03°, γ = 90.00°
Space group P2_1/m (No. 11)
Symmetry-distinct sites (fractional):
Rb 0.220 0.250 0.264
Zr 0.355 0.750 0.845
Cd 0.121 0.250 0.580
S 0.140 0.250 0.838
S 0.347 0.750 0.606
S 0.426 0.750 0.111

---

Record 4
This record from OQMD describes crystalline TbLuPb at its relaxed geometry. The functional is PBE.

## Properties
Distance to the lowest polymorph of the same formula = 0 kJ/mol of formula units
Calculated density = 9.44 g/cm3

a = 7.247 Å, b = 7.247 Å, c = 7.247 Å
α = 90.00°, β = 90.00°, γ = 90.00°
Space group F-43m (No. 216)
Symmetry-distinct sites (fractional):
Tb 0.000 0.000 0.000
Lu 0.000 0.000 0.500
Pb 0.250 0.250 0.750

---

Record 5
This record from OQMD describes crystalline Be2HgGe at its relaxed geometry. The functional is PBE.

## Properties
Uncorrected energy = -0.0842 Ha/atom
Calculated density = 7.51 g/cm3

a = 6.362 Å, b = 6.362 Å, c = 6.362 Å
α = 90.00°, β = 90.00°, γ = 90.00°
Space group F-43m (No. 216)
Symmetry-distinct sites (fractional):
Be 0.000 0.000 0.000
Be 0.250 0.250 0.250
Hg 0.250 0.250 0.750
Ge 0.000 0.000 0.500

---

Record 6
This record from OQMD describes crystalline TmB2HO5 at its relaxed geometry. The functional is PBE.

## Properties
Uncorrected energy = -0.2838 Ha/atom
Calculated density = 5.50 g/cm3

a = 6.722 Å, b = 8.599 Å, c = 11.363 Å
α = 90.00°, β = 92.58°, γ = 90.00°
Space group C2/c (No. 15)
Symmetry-distinct sites (fractional):
Tm 0.242 0.054 0.063
B 0.241 0.152 0.365
B 0.244 0.384 0.217
H 0.062 0.271 0.506
O 0.075 0.372 0.555
O 0.076 0.115 0.437
O 0.236 0.315 0.327
O 0.244 0.454 0.735
O 0.249 0.315 0.111

---

Copy entry 2 word for word.
This record from OQMD describes crystalline TbEr2Cu4Si2Ge2 at its relaxed geometry. The functional is PBE.

## Properties
Distance to the lowest polymorph of the same formula = 8 kJ/mol of formula units
Calculated density = 8.35 g/cm3

a = 4.155 Å, b = 6.598 Å, c = 13.762 Å
α = 90.00°, β = 90.00°, γ = 90.00°
Space group Immm (No. 71)
Symmetry-distinct sites (fractional):
Tb 0.000 0.000 0.000
Er 0.000 0.500 0.129
Cu 0.000 0.309 0.336
Si 0.000 0.183 0.500
Ge 0.000 0.000 0.218

---

> What is the calculated density in the second record?

8.35 g/cm3

---

> calculated density of number 1 (GdYZnCo2)?

7.73 g/cm3

---

Repeat the second record exactly.
This record from OQMD describes crystalline TbEr2Cu4Si2Ge2 at its relaxed geometry. The functional is PBE.

## Properties
Distance to the lowest polymorph of the same formula = 8 kJ/mol of formula units
Calculated density = 8.35 g/cm3

a = 4.155 Å, b = 6.598 Å, c = 13.762 Å
α = 90.00°, β = 90.00°, γ = 90.00°
Space group Immm (No. 71)
Symmetry-distinct sites (fractional):
Tb 0.000 0.000 0.000
Er 0.000 0.500 0.129
Cu 0.000 0.309 0.336
Si 0.000 0.183 0.500
Ge 0.000 0.000 0.218